Computed, not measured: BaTaGaPd2 at its PBEsol-relaxed geometry at the meta-GGA SCAN level of DFT.

The value obtained for the size of the total moment is 2.9 μB/f.u. Its formation energy is 1.99 eV per atom. As for the mass density: 7.15 g cm⁻³. For the total energy, the calculation gives -1.3089 hartree per atom. The calculation puts the volume at 139.6 Å³/f.u.

It has space group P4/mmm (No. 123), with a = 5.065 Å, b = 5.065 Å, c = 5.440 Å, α = 90.00°, β = 90.00° and γ = 90.00°. The asymmetric unit holds Ba at (0.000, 0.000, 0.000), Ta at (0.500, 0.500, 0.500), Ga at (0.000, 0.000, 0.500) and Pd at (0.000, 0.500, 0.000).

Computed, not measured: YCrReRu2 at its PBEsol-relaxed geometry at the meta-GGA SCAN level of DFT.

The value obtained for the size of the total moment is 0.0 μB/f.u. Its formation energy is 0.56 eV per atom. As for the mass density: 10.06 g cm⁻³. For the total energy, the calculation gives -1.3538 hartree per atom. The calculation puts the volume at 87.3 Å³/f.u.

It has space group P4/mmm (No. 123), with a = 4.413 Å, b = 4.413 Å, c = 4.485 Å, α = 90.00°, β = 90.00° and γ = 90.00°. The asymmetric unit holds Y at (0.000, 0.000, 0.000), Cr at (0.500, 0.500, 0.500), Re at (0.500, 0.500, 0.000) and Ru at (0.000, 0.500, 0.500).

Computed, not measured: NaNd2Se3 at its PBEsol-relaxed geometry at the meta-GGA SCAN level of DFT.

The value obtained for the size of the total moment is 0.0 μB/f.u. As for the mass density: 5.89 g cm⁻³. For the total energy, the calculation gives -1.0011 hartree per atom. The calculation puts the volume at 154.5 Å³/f.u. The formation energy without anion corrections is -11.84 eV/f.u.

It has space group Immm (No. 71), with a = 4.154 Å, b = 5.887 Å, c = 12.632 Å, α = 90.00°, β = 90.00° and γ = 90.00°. The asymmetric unit holds Na at (0.000, 0.000, 0.000), Nd at (0.000, 0.000, 0.336), Se at (0.000, 0.500, 0.000) and Se at (0.000, 0.500, 0.332).

Computed, not measured: HgRhO2F at its PBEsol-relaxed geometry at the meta-GGA SCAN level of DFT.

The value obtained for the size of the total moment is 2.9 μB/f.u. As for the mass density: 7.99 g cm⁻³. For the total energy, the calculation gives -0.8517 hartree per atom. The calculation puts the volume at 73.7 Å³/f.u. The formation energy without anion corrections is 2.06 eV/f.u.

It has space group P4/mmm (No. 123), with a = 4.160 Å, b = 4.160 Å, c = 4.257 Å, α = 90.00°, β = 90.00° and γ = 90.00°. The asymmetric unit holds Hg at (0.000, 0.000, 0.000), Rh at (0.500, 0.500, 0.500), O at (0.000, 0.500, 0.000) and F at (0.000, 0.000, 0.500).